A plane-wave DFT calculation with PBE was carried out for a geometry-optimized K5In2F12 structure.

Unit cell a=14.3166 b=6.7195 c=8.3057 alpha=90.00 beta=105.84 gamma=90.00
Space group C2/m (No. 12)
Symmetry-distinct sites (fractional):
K1 0.0000 0.0000 0.0000 x2
K2 0.2000 0.5000 0.8642 x4
K3 0.2026 0.5000 0.3320 x4
In1 0.0000 0.2488 0.5000 x4
F1 0.0008 0.0000 0.6656 x4
F2 0.0006 0.5000 0.3340 x4
F3 0.1479 0.2606 0.5699 x8
F4 0.1520 0.2497 0.0753 x8

## Properties
Energy relative to the lowest polymorph listed for this composition   0 meV per atom

A plane-wave DFT calculation with PBE was carried out for a geometry-optimized K2InF structure.

Unit cell a=3.7489 b=3.7489 c=30.2231 alpha=90.00 beta=90.00 gamma=120.00
Space group R-3m (No. 166, hexagonal axes)
Symmetry-distinct sites (fractional):
K1 0.0000 0.0000 0.1134 x6
In1 0.0000 0.0000 0.0000 x3
F1 0.0000 0.0000 0.5000 x3

## Properties
Energy relative to the lowest polymorph listed for this composition   0 meV per atom

A plane-wave DFT calculation with PBE was carried out for a geometry-optimized KIn2F4 structure.

Unit cell a=5.0092 b=5.0092 c=12.2532 alpha=90.00 beta=90.00 gamma=90.00
Space group I4/mmm (No. 139)
Symmetry-distinct sites (fractional):
K1 0.0000 0.0000 0.0000 x2
In1 0.0000 0.0000 0.3830 x4
F1 0.0000 0.0000 0.2132 x4
F2 0.0000 0.5000 0.0000 x4

## Properties
Final energy   -54.9 eV/cell

A plane-wave DFT calculation with PBE was carried out for a geometry-optimized K3InF8 structure.

Unit cell a=5.9804 b=5.9804 c=12.0179 alpha=90.00 beta=90.00 gamma=90.00
Space group I4/mmm (No. 139)
Symmetry-distinct sites (fractional):
K1 0.0000 0.0000 0.0000 x2
K2 0.0000 0.5000 0.2500 x4
In1 0.0000 0.0000 0.5000 x2
F1 0.2127 0.2127 0.3920 x16

## Properties
Final energy   -95.1 eV/cell

A plane-wave DFT calculation with PBE was carried out for a geometry-optimized KIn4F12 structure.

Unit cell a=8.5583 b=8.5652 c=8.5667 alpha=90.00 beta=90.00 gamma=90.00
Space group Immm (No. 71)
Symmetry-distinct sites (fractional):
K1 0.0000 0.0000 0.0000 x2
In1 0.2500 0.2500 0.2500 x8
F1 0.0000 0.2299 0.2484 x8
F2 0.2339 0.2456 0.0000 x8
F3 0.2474 0.5000 0.2633 x8

## Properties
Final energy   -154.1 eV/cell

A plane-wave DFT calculation with PBE was carried out for a geometry-optimized K3In5F12 structure.

Unit cell a=14.8981 b=14.8981 c=14.8981 alpha=90.00 beta=90.00 gamma=90.00
Space group Ia-3d (No. 230)
Symmetry-distinct sites (fractional):
K1 0.0000 0.2500 0.1250 x24
In1 0.0000 0.0000 0.0000 x16
In2 0.0000 0.2500 0.3750 x24
F1 0.0279 0.0585 0.6275 x96

## Properties
Final energy   -692.2 eV/cell

A plane-wave DFT calculation with PBE was carried out for a geometry-optimized KIn4F2 structure.

Unit cell a=6.2327 b=6.2327 c=13.5517 alpha=90.00 beta=90.00 gamma=90.00
Space group I4/mmm (No. 139)
Symmetry-distinct sites (fractional):
K1 0.0000 0.0000 0.0000 x2
In1 0.0000 0.0000 0.2487 x4
In2 0.0000 0.5000 0.0000 x4
F1 0.0000 0.0000 0.4031 x4

## Properties
Final energy   -37.1 eV/cell

A plane-wave DFT calculation with PBE was carried out for a geometry-optimized K3InF structure.

Unit cell a=5.5343 b=5.5343 c=5.5343 alpha=90.00 beta=90.00 gamma=90.00
Space group Pm-3m (No. 221)
Symmetry-distinct sites (fractional):
K1 0.0000 0.0000 0.5000 x3
In1 0.5000 0.5000 0.5000 x1
F1 0.0000 0.0000 0.0000 x1

## Properties
Energy relative to the lowest polymorph listed for this composition   0 meV per atom

D(E_F) values (in states/eV per cell) by entry order: 32.04, 2.09, 9.97, 25.96, 5.14, 0.00, 12.89, 3.03.